(1)
! CoRePt2N (GGA-PBE, relaxed); values from VASP
&SYSTEM
  ibrav = 0, nat = 5, ntyp = 4
/
ATOMIC_SPECIES
N 14.01 N.upf
Co 58.93 Co.upf
Pt 195.08 Pt.upf
Re 186.21 Re.upf
CELL_PARAMETERS angstrom
-0.6744 4.7511 -0.6962
-2.5883 0.1762 3.7098
3.9207 0.9507 2.6902
ATOMIC_POSITIONS crystal
N 0.5000 0.5000 0.5000
Co 0.0000 0.5000 0.0000
Pt 0.0000 0.0000 0.5000
Pt 0.5000 0.0000 0.0000
Re 0.0000 0.0000 0.0000
! total DFT energy (no corrections)	-5.63	eV per atom
! formation energy without anion corrections	2.36	eV per atom
! calculated volume	106	Å³/cell
! crystal system	tetragonal

***

(2)
! Co2RePtN (GGA-PBE, relaxed); values from VASP
&SYSTEM
  ibrav = 0, nat = 5, ntyp = 4
/
ATOMIC_SPECIES
Co 58.93 Co.upf
N 14.01 N.upf
Pt 195.08 Pt.upf
Re 186.21 Re.upf
CELL_PARAMETERS angstrom
3.8852 0.0000 0.0000
0.0000 3.8852 0.0000
0.0000 0.0000 3.9527
ATOMIC_POSITIONS crystal
Co 0.5000 0.0000 0.0000
Co 0.0000 0.5000 0.0000
N 0.0000 0.0000 0.0000
Pt 0.5000 0.5000 0.5000
Re 0.0000 0.0000 0.5000
! total DFT energy (no corrections)	-8.13	eV per atom
! formation energy without anion corrections	0.08	eV per atom
! calculated volume	60	Å³/cell
! crystal system	tetragonal